# Sc4Cd3Rh

A geometry-optimized Sc4Cd3Rh structure (GGA-PBE, Alexandria).

Cell lengths 3.3618, 3.3618, 14.7145 Å; angles 90.00, 90.00, 90.00 degrees
With the nearest neighbours (Å) after each atom.
Fractional positions:
Sc 0.0000 0.0000 0.8968  4 Rh 2.82, 1 Sc 3.04, 4 Cd 3.10
Sc 0.0000 0.0000 0.1032  4 Rh 2.82, 1 Sc 3.04, 4 Cd 3.10
Sc 0.0000 0.0000 0.3689  8 Cd 3.06, 4 Sc 3.36
Sc 0.0000 0.0000 0.6311  8 Cd 3.06, 4 Sc 3.36
Rh 0.5000 0.5000 0.0000  8 Sc 2.82
Cd 0.5000 0.5000 0.2383  8 Sc 3.06-3.10, 4 Cd 3.36
Cd 0.5000 0.5000 0.5000  8 Sc 3.06, 4 Cd 3.36
Cd 0.5000 0.5000 0.7617  8 Sc 3.06-3.10, 4 Cd 3.36

Theoretical density   6.2 g/cm³
Symmetry   No. 123
E   -4.893 eV/atom